[1]
A plane-wave DFT calculation with GGA-PBE was carried out for a relaxed structure of LaZnGa3Ag.

The value obtained for the formation energy is -0.1516 eV per atom. For the energy, the calculation gives -3.1738 eV per atom. The theoretical density comes out at 6.652 g/cm³. The value obtained for the density of states at the Fermi level is 2.28 states/eV/f.u.

Unit cell a=7.4194 b=7.4194 c=6.5496 alpha=90.00 beta=90.00 gamma=133.78
Closest atoms and distances in Å follow each position.
Fractional positions:
La1 0.1882 0.8118 0.7500  1 Zn 2.94, 2 Ga 3.07
La2 0.8118 0.1882 0.2500  1 Zn 2.94, 2 Ga 3.07
Zn1 0.4033 0.5967 0.7500  5 Ga 2.66-2.91, 1 La 2.94
Zn2 0.5967 0.4033 0.2500  5 Ga 2.66-2.91, 1 La 2.94
Ga1 0.2197 0.2197 0.0000  3 Ga 2.56-2.81, 2 Zn 2.66
Ga2 0.2197 0.2197 0.5000  3 Ga 2.56-2.81, 2 Zn 2.66
Ga3 0.3832 0.6168 0.2500  4 Ga 2.81, 1 Zn 2.91, 1 Ag 3.02, 2 La 3.07
Ga4 0.6168 0.3832 0.7500  4 Ga 2.81, 1 Zn 2.91, 1 Ag 3.02, 2 La 3.07
Ga5 0.7803 0.7803 0.0000  3 Ga 2.56-2.81, 2 Zn 2.66
Ga6 0.7803 0.7803 0.5000  3 Ga 2.56-2.81, 2 Zn 2.66
Ag1 0.1621 0.8379 0.2500  5 Ga 3.02-3.04, 2 Zn 3.05, 2 La 3.29
Ag2 0.8379 0.1621 0.7500  5 Ga 3.02-3.04, 2 Zn 3.05, 2 La 3.29

=====

[2]
A plane-wave DFT calculation with GGA-PBE was carried out for a relaxed structure of Sc2PdRuSe.

For the energy, the calculation gives -6.0684 eV per atom. The theoretical density comes out at 5.363 g/cm³. The value obtained for the density of states at the Fermi level is 7.66 states/eV/f.u.

Unit cell a=4.9354 b=4.9354 c=4.7839 alpha=90.00 beta=90.00 gamma=90.00
Closest atoms and distances in Å follow each position.
Fractional positions:
Sc1 0.0000 0.5000 0.0000  2 Ru 2.47
Sc2 0.5000 0.0000 0.0000  2 Ru 2.47
Pd1 0.0000 0.0000 0.5000  2 Ru 2.39
Ru1 0.0000 0.0000 0.0000  2 Pd 2.39, 4 Sc 2.47
Se1 0.5000 0.5000 0.5000  8 Sc 3.44, 4 Pd 3.49

=====

[3]
A plane-wave DFT calculation with GGA-PBE was carried out for a relaxed structure of Ba2InCo2.

The value obtained for the formation energy is 0.2464 eV per atom. For the energy, the calculation gives -3.9128 eV per atom. The theoretical density comes out at 6.138 g/cm³. The value obtained for the density of states at the Fermi level is 9.13 states/eV/f.u.

Unit cell a=7.4767 b=7.4767 c=4.9103 alpha=90.00 beta=90.00 gamma=90.00
Closest atoms and distances in Å follow each position.
Fractional positions:
Ba1 0.1834 0.3166 0.0000  6 Co 3.32-3.33, 4 In 3.68
Ba2 0.3166 0.8166 0.0000  6 Co 3.32-3.33, 4 In 3.68
Ba3 0.6834 0.1834 0.0000  6 Co 3.32-3.33, 4 In 3.68
Ba4 0.8166 0.6834 0.0000  6 Co 3.32-3.33, 4 In 3.68
In1 0.0000 0.0000 0.5000  4 Co 3.06
In2 0.5000 0.5000 0.5000  4 Co 3.06
Co1 0.1043 0.6043 0.5000  1 Co 2.21
Co2 0.3957 0.1043 0.5000  1 Co 2.21
Co3 0.6043 0.8957 0.5000  1 Co 2.21
Co4 0.8957 0.3957 0.5000  1 Co 2.21

=====

[4]
A plane-wave DFT calculation with GGA-PBE was carried out for a relaxed structure of YSbSCl2.

For the energy, the calculation gives -4.6527 eV per atom. The theoretical density comes out at 3.500 g/cm³. As for the energy above the most stable polymorph in this dataset: 0 meV per atom. The value obtained for the density of states at the Fermi level is 0.78 states/eV/f.u.

Unit cell a=5.2108 b=5.2108 c=5.4811 alpha=90.00 beta=90.00 gamma=90.00
Closest atoms and distances in Å follow each position.
Fractional positions:
Y1 0.0000 0.0000 0.0000  4 Cl 2.61, 2 S 2.74
Sb1 0.5000 0.5000 0.5000  4 S 3.68, 8 Cl 3.78
S1 0.0000 0.0000 0.5000  2 Y 2.74
Cl1 0.0000 0.5000 0.0000  2 Y 2.61
Cl2 0.5000 0.0000 0.0000  2 Y 2.61